DFT (PBE+U) results for crystalline CeTa2VO8 at its relaxed geometry.

Values from the calculation:
volume = 13.11 A^3/atom
VASP energy = -9.175 eV per atom

Unit cell a=4.9782 b=4.9792 c=6.3511 alpha=90.44 beta=90.44 gamma=87.55
Each line ends with the local moment (μB).
Sites, in units of the cell vectors:
O (0.2179, 0.7900, 0.2349)  -0.02
O (0.3240, 0.3243, 0.4946)  0.00
O (0.3165, 0.3167, 0.9984)  -0.01
O (0.7897, 0.2177, 0.2349)  -0.02
O (0.6835, 0.6833, 0.0016)  -0.01
O (0.2103, 0.7823, 0.7651)  -0.02
O (0.7821, 0.2100, 0.7651)  -0.02
O (0.6760, 0.6757, 0.5054)  0.00
Ta (0.4845, 0.4845, 0.2413)  0.04
Ta (0.5155, 0.5155, 0.7587)  0.04
Ce (0.0000, 0.0000, 0.5000)  0.35
V (0.0000, 0.0000, 0.0000)  2.46